Computed, not measured: a relaxed structure of Rb3CdNi2F9 at the PBE+U level of DFT.

Geometry as extended XYZ:
```
15
Lattice="5.997 0.000 0.000 -2.998 5.193 0.000 0.000 0.000 7.368" Properties=species:S:1:pos:R:3 pbc="T T T"
Rb 0.000 0.000 0.000
Rb 0.000 3.462 4.939
Rb 2.998 1.731 2.429
Cd 0.000 0.000 3.684
Ni 0.000 3.462 1.155
Ni 2.998 1.731 6.212
F -1.499 2.597 0.000
F 0.000 1.819 2.358
F -1.423 4.284 2.358
F 1.576 0.910 5.009
F 2.998 0.000 0.000
F 1.499 2.597 0.000
F 1.423 4.284 2.358
F 4.421 0.910 5.009
F 2.998 3.374 5.009
```

## Properties
- total magnetization (μB/f.u.) = 4.000
- V (Å³/atom) = 15.30
- uncorrected energy (eV per cell) = -62.56
- crystal system = trigonal